(1)
This record from Alexandria describes crystalline CsPuB2H8 at its relaxed geometry. The functional is PBE-GGA.

Summary:
Its density of states at the Fermi level is 0.697 states/eV per atom. Its electronic total energy is -58.34 eV per cell.

The structure in POSCAR format:
```
CsPuB2H8
1.0
2.142 1.236 8.465
-2.142 1.236 8.465
0.000 -2.473 8.465
Cs Pu B H
1 1 2 8
direct
0.000 0.000 0.000
0.500 0.500 0.500
0.232 0.232 0.232
0.768 0.768 0.768
0.057 0.057 0.535
0.057 0.535 0.057
0.281 0.281 0.281
0.465 0.943 0.943
0.535 0.057 0.057
0.719 0.719 0.719
0.943 0.465 0.943
0.943 0.943 0.465
```

=====

(2)
This record from Alexandria describes crystalline CsPb2AuCl8 at its relaxed geometry. The functional is PBE-GGA.

Summary:
For the formation energy without anion corrections, the calculation gives -12.17 eV/f.u.

The structure in POSCAR format:
```
CsPb2AuCl8
1.0
5.486 0.000 0.000
-1.168 8.153 0.000
-2.660 -2.134 8.878
Cs Pb Au Cl
1 2 1 8
direct
0.000 0.000 0.000
0.325 0.737 0.486
0.675 0.263 0.514
0.500 0.500 0.000
0.088 0.346 0.855
0.195 0.339 0.430
0.420 0.712 0.873
0.492 0.054 0.690
0.508 0.946 0.310
0.580 0.288 0.127
0.805 0.661 0.570
0.912 0.654 0.145
```

=====

(3)
This record from Alexandria describes crystalline PuPa5N6 at its relaxed geometry. The functional is PBE-GGA.

Summary:
Its density of states at the Fermi level is 0.839 states/eV per atom. For the formation energy without anion corrections, the calculation gives -19.10 eV/f.u.

The structure in POSCAR format:
```
PuPa5N6
1.0
3.036 -5.249 0.000
3.036 5.249 0.000
-2.014 0.000 5.712
Pu Pa N
1 5 6
direct
0.000 0.000 0.000
0.165 0.835 0.500
0.333 0.667 0.000
0.500 0.500 0.500
0.667 0.333 0.000
0.835 0.165 0.500
0.085 0.424 0.254
0.256 0.256 0.748
0.424 0.085 0.254
0.576 0.915 0.746
0.744 0.744 0.252
0.915 0.576 0.746
```

=====

(4)
This record from Alexandria describes crystalline Pm3YRh2 at its relaxed geometry. The functional is PBE-GGA.

Summary:
Its density of states at the Fermi level is 0.921 states/eV per atom. The calculation puts the formation energy at -0.49 eV per atom.

The structure in POSCAR format:
```
Pm3YRh2
1.0
-3.424 6.893 3.622
3.424 -6.893 3.622
3.424 6.893 -3.622
Pm Y Rh
6 2 4
direct
0.018 0.750 0.268
0.250 0.250 0.000
0.482 0.750 0.732
0.518 0.250 0.268
0.750 0.750 0.000
0.982 0.250 0.732
0.000 0.500 0.500
0.500 0.000 0.500
0.137 0.213 0.351
0.363 0.713 0.076
0.637 0.287 0.924
0.863 0.787 0.649
```

=====

(5)
This record from Alexandria describes crystalline KZn2Ni2 at its relaxed geometry. The functional is PBE-GGA.

Summary:
Its density of states at the Fermi level is 0.505 states/eV per atom. The calculation puts the formation energy at 0.20 eV per atom. For the energy above the most stable polymorph in this dataset, the calculation gives 76 meV per atom.

The structure in POSCAR format:
```
KZn2Ni2
1.0
-2.061 2.061 5.583
2.061 -2.061 5.583
2.061 2.061 -5.583
K Zn Ni
1 2 2
direct
0.000 0.000 0.000
0.363 0.363 0.000
0.637 0.637 0.000
0.250 0.750 0.500
0.750 0.250 0.500
```

=====

(6)
This record from Alexandria describes crystalline CrAg2Br at its relaxed geometry. The functional is PBE-GGA.

Summary:
Its density of states at the Fermi level is 0.337 states/eV per atom. For the energy above the most stable polymorph in this dataset, the calculation gives 157 meV per atom. For the formation energy without anion corrections, the calculation gives 1.38 eV/f.u.

The structure in POSCAR format:
```
CrAg2Br
1.0
2.765 -5.779 0.000
2.765 5.779 0.000
-1.995 0.000 2.663
Cr Ag Br
1 2 1
direct
0.000 0.000 0.000
0.000 0.500 0.500
0.500 0.000 0.500
0.500 0.500 0.000
```

=====

(7)
This record from Alexandria describes crystalline Sr2TcHg at its relaxed geometry. The functional is PBE-GGA.

Summary:
Its density of states at the Fermi level is 1.524 states/eV per atom. The calculation puts the formation energy at 0.58 eV per atom.

The structure in POSCAR format:
```
Sr2TcHg
1.0
0.000 3.755 3.755
3.755 0.000 3.755
3.755 3.755 0.000
Sr Tc Hg
2 1 1
direct
0.000 0.000 0.000
0.250 0.250 0.250
0.750 0.750 0.750
0.500 0.500 0.500
```

=====

(8)
This record from Alexandria describes crystalline RbAuO at its relaxed geometry. The functional is PBE-GGA.

Summary:
Its density of states at the Fermi level is 0.015 states/eV per atom. For the formation energy without anion corrections, the calculation gives -1.67 eV/f.u.

The structure in POSCAR format:
```
RbAuO
1.0
6.621 0.000 0.000
0.000 3.712 0.000
0.000 0.000 12.971
Rb Au O
4 4 4
direct
0.089 0.250 0.175
0.411 0.750 0.675
0.589 0.250 0.325
0.911 0.750 0.825
0.088 0.750 0.440
0.412 0.250 0.940
0.588 0.750 0.060
0.912 0.250 0.560
0.235 0.250 0.820
0.265 0.750 0.320
0.735 0.250 0.680
0.765 0.750 0.180
```